Record 1
Compound: Zn4Ga3Ag2
Source: Alexandria via LeMat-Bulk
Functional: PBE
Structure: relaxed

abc: 13.801 5.289 10.552
angles: 90.00 124.91 90.00
Space group C2/c (No. 15)
One atom of each set of equivalent atoms:
Zn 0.055 0.235 0.085
Zn 0.215 0.406 0.814
Ga 0.000 0.499 0.750
Ga 0.096 0.035 0.887
Ag 0.191 0.425 0.549

Total moment ... 0.000 μB per atom

=====

Record 2
Compound: ZnGaAg
Source: Alexandria via LeMat-Bulk
Functional: PBE
Structure: relaxed

abc: 2.807 18.736 4.007
angles: 90.00 90.00 90.00
Space group Cmcm (No. 63)
One atom of each set of equivalent atoms:
Zn 0.000 0.131 0.250
Ga 0.000 0.449 0.250
Ag 0.000 0.293 0.250

Total moment ... 0.000 μB per atom

=====

Record 3
Compound: Zn2Ga5Ag4
Source: Alexandria via LeMat-Bulk
Functional: PBE
Structure: relaxed

abc: 21.894 2.899 6.544
angles: 90.00 96.01 90.00
Space group C2/m (No. 12)
One atom of each set of equivalent atoms:
Zn 0.085 0.000 0.307
Ga 0.000 0.500 0.000
Ga 0.147 0.000 0.981
Ga 0.219 0.000 0.329
Ag 0.042 0.000 0.684
Ag 0.155 0.500 0.626

Total moment ... 0.000 μB per atom

=====

Record 4
Compound: ZnGa2Ag4
Source: Alexandria via LeMat-Bulk
Functional: PBE
Structure: relaxed

abc: 4.885 4.885 13.120
angles: 90.00 90.00 90.00
Space group I4/mmm (No. 139)
One atom of each set of equivalent atoms:
Zn 0.000 0.000 0.000
Ga 0.000 0.000 0.388
Ag 0.000 0.000 0.196
Ag 0.000 0.500 0.000

Total moment ... 0.000 μB per atom

=====

Record 5
Compound: Zn2GaAg3
Source: Alexandria via LeMat-Bulk
Functional: PBE
Structure: relaxed

abc: 5.878 13.925 5.029
angles: 90.00 90.00 90.00
Space group Cmcm (No. 63)
One atom of each set of equivalent atoms:
Zn 0.242 0.000 0.000
Ga 0.000 0.149 0.250
Ag 0.000 0.361 0.750
Ag 0.249 0.181 0.750

Total moment ... 0.000 μB per atom

=====

Record 6
Compound: ZnGa2Ag5
Source: Alexandria via LeMat-Bulk
Functional: PBE
Structure: relaxed

abc: 5.744 11.282 4.247
angles: 90.00 90.00 90.00
Space group Pbam (No. 55)
One atom of each set of equivalent atoms:
Zn 0.000 0.000 0.000
Ga 0.227 0.369 0.500
Ag 0.000 0.500 0.000
Ag 0.025 0.756 0.000
Ag 0.227 0.117 0.500

Total moment ... 0.000 μB per atom

=====

Record 7
Compound: Zn4Ga2Ag
Source: Alexandria via LeMat-Bulk
Functional: PBE
Structure: relaxed

abc: 4.993 4.993 12.669
angles: 90.00 90.00 90.00
Space group I4/mmm (No. 139)
One atom of each set of equivalent atoms:
Zn 0.000 0.000 0.199
Zn 0.000 0.500 0.000
Ga 0.000 0.000 0.395
Ag 0.000 0.000 0.000

Total moment ... 0.000 μB per atom

=====

Record 8
Compound: ZnGa4Ag4
Source: Alexandria via LeMat-Bulk
Functional: PBE
Structure: relaxed

abc: 8.821 8.821 4.038
angles: 90.00 90.00 90.00
Space group I4/mmm (No. 139)
One atom of each set of equivalent atoms:
Zn 0.000 0.000 0.000
Ga 0.000 0.331 0.000
Ag 0.165 0.165 0.500

Total moment ... 0.000 μB per atom

=====

Number 1: calculated density 7.2 g/cm3, energy of formation 47 kJ/mol of formula units, final energy -2.154 eV per atom. Number 2: calculated density 7.7 g/cm3, energy of formation 10 kJ/mol of formula units, final energy -2.350 eV per atom. Number 3: calculated density 7.3 g/cm3, energy of formation 60 kJ/mol of formula units, final energy -2.588 eV per atom. Number 4: calculated density 6.7 g/cm3, energy of formation 236 kJ/mol of formula units, final energy -2.327 eV per atom. Number 5: calculated density 8.5 g/cm3, energy of formation 19 kJ/mol of formula units, final energy -2.322 eV per atom. Number 6: calculated density 9.0 g/cm3, energy of formation 5 kJ/mol of formula units, final energy -2.692 eV per atom. Number 7: calculated density 5.4 g/cm3, energy of formation 215 kJ/mol of formula units, final energy -1.681 eV per atom. Number 8: calculated density 8.2 g/cm3, energy of formation 12 kJ/mol of formula units, final energy -2.740 eV per atom.